# Zr2Zn7 | Alexandria via LeMat-Bulk | PBE | relaxed
data_Zr2Zn7
_chemical_formula_sum 'Zr4 Zn14'
_symmetry_space_group_name_H-M 'P 1'
_symmetry_Int_Tables_number 1
_symmetry_space_group_name_Hall 'P 1'
_cell_length_a 5.2458
_cell_length_b 5.2458
_cell_length_c 12.6637
_cell_angle_alpha 78.05
_cell_angle_beta 78.05
_cell_angle_gamma 60.00
loop_
_atom_site_label
_atom_site_fract_x
_atom_site_fract_y
_atom_site_fract_z
Zr1 0.0509 0.0509 0.8472
Zr2 0.9491 0.9491 0.1528
Zr3 0.1500 0.1500 0.5500
Zr4 0.8500 0.8500 0.4500
Zn1 0.5000 0.5000 0.5000
Zn2 0.2780 0.2780 0.1661
Zn3 0.7220 0.7220 0.8339
Zn4 0.3899 0.3899 0.8303
Zn5 0.6101 0.6101 0.1697
Zn6 0.5000 0.0000 0.0000
Zn7 0.0000 0.5000 0.0000
Zn8 0.5000 0.5000 0.0000
Zn9 0.6154 0.6154 0.6645
Zn10 0.6154 0.1048 0.6645
Zn11 0.1048 0.6154 0.6645
Zn12 0.3846 0.3846 0.3355
Zn13 0.3846 0.8952 0.3355
Zn14 0.8952 0.3846 0.3355
# Total energy in eV per atom: -3.09
# Space-group type: No. 166
# E_form in eV/atom: -0.20


# Zr3Zn2 | Alexandria via LeMat-Bulk | PBE | relaxed
data_Zr3Zn2
_chemical_formula_sum 'Zr6 Zn4'
_symmetry_space_group_name_H-M 'P 1'
_symmetry_Int_Tables_number 1
_symmetry_space_group_name_Hall 'P 1'
_cell_length_a 3.3326
_cell_length_b 3.3326
_cell_length_c 17.7164
_cell_angle_alpha 90.00
_cell_angle_beta 90.00
_cell_angle_gamma 90.00
loop_
_atom_site_label
_atom_site_fract_x
_atom_site_fract_y
_atom_site_fract_z
Zr1 0.0000 0.0000 0.8817
Zr2 0.0000 0.0000 0.1183
Zr3 0.0000 0.0000 0.3103
Zr4 0.0000 0.0000 0.5000
Zr5 0.0000 0.0000 0.6897
Zr6 0.5000 0.5000 0.0000
Zn1 0.5000 0.5000 0.2149
Zn2 0.5000 0.5000 0.4055
Zn3 0.5000 0.5000 0.5945
Zn4 0.5000 0.5000 0.7851
# Total energy in eV per atom: -5.85
# Relative energy among the computed polymorphs in kJ per mole of atoms: 0.0
# Space-group type: No. 123
# E_form in eV/atom: -0.21


# Zr3Zn2 | Alexandria via LeMat-Bulk | PBE | relaxed
data_Zr3Zn2
_chemical_formula_sum 'Zr3 Zn2'
_symmetry_space_group_name_H-M 'P 1'
_symmetry_Int_Tables_number 1
_symmetry_space_group_name_Hall 'P 1'
_cell_length_a 11.4408
_cell_length_b 11.4408
_cell_length_c 11.4408
_cell_angle_alpha 16.49
_cell_angle_beta 16.49
_cell_angle_gamma 16.49
loop_
_atom_site_label
_atom_site_fract_x
_atom_site_fract_y
_atom_site_fract_z
Zr1 0.0000 0.0000 0.0000
Zr2 0.7975 0.7975 0.7975
Zr3 0.2025 0.2025 0.2025
Zn1 0.6018 0.6018 0.6018
Zn2 0.3982 0.3982 0.3982
# Total energy in eV per atom: -5.68
# Relative energy among the computed polymorphs in kJ per mole of atoms: 16.7
# Space-group type: No. 166
# E_form in eV/atom: -0.04


# ZrZn4 | Alexandria via LeMat-Bulk | PBE | relaxed
data_ZrZn4
_chemical_formula_sum 'Zr1 Zn4'
_symmetry_space_group_name_H-M 'P 1'
_symmetry_Int_Tables_number 1
_symmetry_space_group_name_Hall 'P 1'
_cell_length_a 4.8677
_cell_length_b 4.8677
_cell_length_c 4.8677
_cell_angle_alpha 101.45
_cell_angle_beta 101.45
_cell_angle_gamma 127.07
loop_
_atom_site_label
_atom_site_fract_x
_atom_site_fract_y
_atom_site_fract_z
Zr1 0.0000 0.0000 0.0000
Zn1 0.8023 0.5179 0.3202
Zn2 0.1977 0.4821 0.6798
Zn3 0.5179 0.1977 0.7155
Zn4 0.4821 0.8023 0.2845
# Total energy in eV per atom: -2.81
# Space-group type: No. 87
# E_form in eV/atom: -0.09


# Zr5Zn3 | Alexandria via LeMat-Bulk | PBE | relaxed
data_Zr5Zn3
_chemical_formula_sum 'Zr5 Zn3'
_symmetry_space_group_name_H-M 'P 1'
_symmetry_Int_Tables_number 1
_symmetry_space_group_name_Hall 'P 1'
_cell_length_a 4.3813
_cell_length_b 3.9797
_cell_length_c 9.0745
_cell_angle_alpha 90.00
_cell_angle_beta 90.00
_cell_angle_gamma 90.00
loop_
_atom_site_label
_atom_site_fract_x
_atom_site_fract_y
_atom_site_fract_z
Zn1 0.0000 0.0000 0.9996
Zn2 0.5000 0.0000 0.2500
Zn3 0.0000 0.0000 0.5004
Zr1 0.5000 0.0000 0.7500
Zr2 0.5000 0.5000 0.0120
Zr3 0.0000 0.5000 0.2500
Zr4 0.5000 0.5000 0.4880
Zr5 0.0000 0.5000 0.7500
# Total energy in eV per atom: -5.96
# Relative energy among the computed polymorphs in kJ per mole of atoms: 5.9
# Space-group type: No. 47
# E_form in eV/atom: -0.14


# Zr5Zn3 | Alexandria via LeMat-Bulk | PBE | relaxed
data_Zr5Zn3
_chemical_formula_sum 'Zr5 Zn3'
_symmetry_space_group_name_H-M 'P 1'
_symmetry_Int_Tables_number 1
_symmetry_space_group_name_Hall 'P 1'
_cell_length_a 6.0013
_cell_length_b 6.0013
_cell_length_c 4.4470
_cell_angle_alpha 90.00
_cell_angle_beta 90.00
_cell_angle_gamma 83.39
loop_
_atom_site_label
_atom_site_fract_x
_atom_site_fract_y
_atom_site_fract_z
Zn1 0.5000 0.5000 0.0000
Zn2 0.2353 0.2353 0.5000
Zn3 0.7647 0.7647 0.5000
Zr1 0.0000 0.0000 0.0000
Zr2 0.0000 0.5000 0.0000
Zr3 0.5000 0.0000 0.0000
Zr4 0.7319 0.2681 0.5000
Zr5 0.2681 0.7319 0.5000
# Total energy in eV per atom: -5.96
# Relative energy among the computed polymorphs in kJ per mole of atoms: 5.6
# Space-group type: No. 65
# E_form in eV/atom: -0.14